This record from Alexandria via LeMat-Bulk describes an optimized crystal structure of NbVRu3. The functional is PBE-GGA.

## Properties
energy above the lowest structure with this stoichiometry	52.6	kJ per mole of atoms
symmetry	No. 65
formation energy	0.416	eV/atom

Unit cell a=7.154 b=7.154 c=4.274 alpha=90.00 beta=90.00 gamma=130.07
Sites, in units of the cell vectors:
1 Nb 0.131 0.869 0.000
2 Nb 0.869 0.131 0.000
3 V 0.397 0.603 0.500
4 V 0.603 0.397 0.500
5 Ru 0.000 0.500 0.500
6 Ru 0.196 0.196 0.500
7 Ru 0.321 0.679 0.000
8 Ru 0.500 0.000 0.500
9 Ru 0.679 0.321 0.000
10 Ru 0.804 0.804 0.500

This record from Alexandria via LeMat-Bulk describes an optimized crystal structure of NbVRu. The functional is PBE-GGA.

## Properties
energy above the lowest structure with this stoichiometry	22.5	kJ per mole of atoms
symmetry	No. 63
formation energy	0.015	eV/atom

Unit cell a=7.148 b=7.148 c=4.806 alpha=90.00 beta=90.00 gamma=157.33
Sites, in units of the cell vectors:
1 Nb 0.185 0.815 0.750
2 Nb 0.815 0.185 0.250
3 V 0.000 0.000 0.000
4 V 0.000 0.000 0.500
5 Ru 0.366 0.634 0.750
6 Ru 0.634 0.366 0.250

This record from Alexandria via LeMat-Bulk describes an optimized crystal structure of Nb3V3Ru. The functional is PBE-GGA.

## Properties
symmetry	No. 160
formation energy	0.178	eV/atom

Unit cell a=5.254 b=5.254 c=5.254 alpha=108.47 beta=108.47 gamma=108.47
Sites, in units of the cell vectors:
1 Nb 0.041 0.479 0.479
2 Nb 0.479 0.041 0.479
3 Nb 0.479 0.479 0.041
4 V 0.503 0.978 0.978
5 V 0.978 0.503 0.978
6 V 0.978 0.978 0.503
7 Ru 0.951 0.951 0.951

This record from Alexandria via LeMat-Bulk describes an optimized crystal structure of Nb5RuW. The functional is PBE-GGA.

## Properties
symmetry	No. 15
formation energy	0.294	eV/atom

Unit cell a=5.404 b=5.404 c=9.272 alpha=98.18 beta=98.18 gamma=105.99
Sites, in units of the cell vectors:
1 Nb 0.016 0.382 0.826
2 Nb 0.134 0.866 0.750
3 Nb 0.251 0.538 0.494
4 Nb 0.382 0.016 0.326
5 Nb 0.462 0.749 0.006
6 Nb 0.538 0.251 0.994
7 Nb 0.618 0.984 0.674
8 Nb 0.749 0.462 0.506
9 Nb 0.866 0.134 0.250
10 Nb 0.984 0.618 0.174
11 Ru 0.488 0.512 0.250
12 Ru 0.512 0.488 0.750
13 W 0.000 0.000 0.000
14 W 0.000 0.000 0.500

This record from Alexandria via LeMat-Bulk describes an optimized crystal structure of NbRu6W. The functional is PBE-GGA.

## Properties
symmetry	No. 38
formation energy	-0.031	eV/atom

Unit cell a=4.445 b=5.515 c=5.515 alpha=60.55 beta=90.00 gamma=90.00
Sites, in units of the cell vectors:
1 Nb 0.000 0.000 0.000
2 Ru 0.000 0.485 0.485
3 Ru 0.000 0.493 0.995
4 Ru 0.000 0.995 0.493
5 Ru 0.500 0.320 0.807
6 Ru 0.500 0.322 0.322
7 Ru 0.500 0.807 0.320
8 W 0.500 0.808 0.808

This record from Alexandria via LeMat-Bulk describes an optimized crystal structure of NbRuW2. The functional is PBE-GGA.

## Properties
energy above the lowest structure with this stoichiometry	2.7	kJ per mole of atoms
symmetry	No. 225
formation energy	0.110	eV/atom

Unit cell a=4.493 b=4.493 c=4.493 alpha=60.00 beta=60.00 gamma=60.00
Sites, in units of the cell vectors:
1 Nb 0.000 0.000 0.000
2 Ru 0.500 0.500 0.500
3 W 0.250 0.250 0.250
4 W 0.750 0.750 0.750

This record from Alexandria via LeMat-Bulk describes an optimized crystal structure of NbRu2W. The functional is PBE-GGA.

## Properties
energy above the lowest structure with this stoichiometry	131.8	kJ per mole of atoms
symmetry	No. 122
formation energy	1.328	eV/atom

Unit cell a=6.922 b=6.922 c=6.922 alpha=131.16 beta=131.16 gamma=71.56
Sites, in units of the cell vectors:
1 Nb 0.000 0.000 0.000
2 Nb 0.750 0.250 0.500
3 Ru 0.136 0.625 0.011
4 Ru 0.375 0.386 0.511
5 Ru 0.614 0.125 0.989
6 Ru 0.875 0.864 0.489
7 W 0.250 0.750 0.500
8 W 0.500 0.500 0.000

This record from Alexandria via LeMat-Bulk describes an optimized crystal structure of Nb4Ru3W. The functional is PBE-GGA.

## Properties
symmetry	No. 123
formation energy	-0.180	eV/atom

Unit cell a=3.220 b=3.220 c=12.621 alpha=90.00 beta=90.00 gamma=90.00
Sites, in units of the cell vectors:
1 Nb 0.000 0.000 0.124
2 Nb 0.000 0.000 0.375
3 Nb 0.000 0.000 0.625
4 Nb 0.000 0.000 0.876
5 Ru 0.500 0.500 0.000
6 Ru 0.500 0.500 0.244
7 Ru 0.500 0.500 0.756
8 W 0.500 0.500 0.500